Here is PuHgIN after structural relaxation from Alexandria via LeMat-Bulk. Energies are from PBE. Values from VASP.

```
&SYSTEM
  ibrav = 0, nat = 8, ntyp = 4
/
ATOMIC_SPECIES
Pu 244.00 Pu.upf
Hg 200.59 Hg.upf
I 126.90 I.upf
N 14.01 N.upf
ATOMIC_POSITIONS angstrom
Pu 1.003 1.003 1.058
Pu 3.009 3.009 12.018
Hg 1.003 3.009 6.538
Hg 3.009 1.003 6.538
I 1.003 1.003 10.052
I 3.009 3.009 3.024
N 1.003 3.009 0.000
N 3.009 1.003 0.000
CELL_PARAMETERS angstrom
4.012 0.000 0.000
0.000 4.012 0.000
0.000 0.000 13.076
```

Output
Its total magnetization is 8.2 μB/cell. The density of states at the Fermi level is 1.53 states/eV per atom. The formation energy (no corrections) comes out at -0.922 eV/atom. Its space-group type is P4/nmm. Its calculated volume is 210.5 Å³/cell.

Here is ZnSbS2N after structural relaxation from Alexandria via LeMat-Bulk. Energies are from PBE. Values from VASP.

```
&SYSTEM
  ibrav = 0, nat = 5, ntyp = 4
/
ATOMIC_SPECIES
Zn 65.41 Zn.upf
Sb 121.76 Sb.upf
S 32.06 S.upf
N 14.01 N.upf
ATOMIC_POSITIONS angstrom
Zn 0.000 0.000 0.000
Sb 2.547 2.547 1.947
S 0.000 2.547 1.947
S 2.547 0.000 1.947
N 2.547 2.547 0.000
CELL_PARAMETERS angstrom
5.094 0.000 0.000
0.000 5.094 0.000
0.000 0.000 3.893
```

Output
Its total magnetization is 0.0 μB/cell. The density of states at the Fermi level is 0.78 states/eV per atom. The energy relative to the lowest polymorph listed for this composition comes out at 0.52 eV per formula unit. The formation energy (no corrections) comes out at 0.820 eV/atom. Its space-group type is P4/mmm. Its calculated volume is 101.0 Å³/cell.

Here is CaLaCd3 after structural relaxation from Alexandria via LeMat-Bulk. Energies are from PBE. Values from VASP.

```
&SYSTEM
  ibrav = 0, nat = 5, ntyp = 3
/
ATOMIC_SPECIES
Ca 40.08 Ca.upf
La 138.91 La.upf
Cd 112.41 Cd.upf
ATOMIC_POSITIONS angstrom
Ca 0.000 0.000 0.000
La 2.764 2.764 2.764
Cd 0.000 0.000 2.764
Cd 0.000 2.764 0.000
Cd 2.764 0.000 0.000
CELL_PARAMETERS angstrom
5.528 0.000 0.000
0.000 5.528 0.000
0.000 0.000 5.528
```

Output
Its total magnetization is 0.0 μB/cell. The density of states at the Fermi level is 1.50 states/eV per atom. The energy relative to the lowest polymorph listed for this composition comes out at 3.28 eV per formula unit. The formation energy is 312 meV per atom. Its space-group type is Pm-3m. Its calculated volume is 169.0 Å³/cell.

Here is La2PmNpAs4 after structural relaxation from Alexandria via LeMat-Bulk. Energies are from PBE. Values from VASP.

```
&SYSTEM
  ibrav = 0, nat = 8, ntyp = 4
/
ATOMIC_SPECIES
La 138.91 La.upf
Pm 145.00 Pm.upf
Np 237.00 Np.upf
As 74.92 As.upf
ATOMIC_POSITIONS angstrom
La 0.000 0.000 0.000
La 3.698 2.133 0.000
Pm -1.225 2.133 3.496
Np 2.474 0.000 3.496
As 0.058 0.000 5.166
As 1.272 2.133 1.848
As 3.675 2.133 5.143
As 4.889 0.000 1.826
CELL_PARAMETERS angstrom
7.396 0.000 0.000
0.000 4.266 0.000
-2.449 0.000 6.991
```

Output
Its total magnetization is 3.8 μB/cell. The density of states at the Fermi level is 1.52 states/eV per atom. The formation energy is -1320 meV per atom. Its space-group type is P2/m. Its calculated volume is 220.6 Å³/cell.

Here is YFeH after structural relaxation from Alexandria via LeMat-Bulk. Energies are from PBE. Values from VASP.

```
&SYSTEM
  ibrav = 0, nat = 6, ntyp = 3
/
ATOMIC_SPECIES
Y 88.91 Y.upf
Fe 55.84 Fe.upf
H 1.01 H.upf
ATOMIC_POSITIONS angstrom
Y 0.000 0.000 0.000
Y 0.000 0.000 10.767
Fe 0.000 0.000 5.493
Fe 0.000 0.000 20.446
H 0.000 0.000 2.215
H 0.000 0.000 16.580
CELL_PARAMETERS angstrom
1.815 1.048 7.730
-1.815 1.048 7.730
0.000 -2.096 7.730
```

Output
As for the calculated total energy: -6.2452 eV/atom. Its total magnetization is 0.0 μB/cell. The density of states at the Fermi level is 0.29 states/eV per atom. Its space-group type is R3m. Its calculated volume is 88.2 Å³/cell.

Here is TcPS after structural relaxation from Alexandria via LeMat-Bulk. Energies are from PBE. Values from VASP.

```
&SYSTEM
  ibrav = 0, nat = 6, ntyp = 3
/
ATOMIC_SPECIES
Tc 98.00 Tc.upf
P 30.97 P.upf
S 32.06 S.upf
ATOMIC_POSITIONS angstrom
Tc 0.782 2.652 0.000
Tc 0.782 2.671 2.915
P 0.782 4.584 1.444
P 0.782 0.740 4.359
S 0.782 -1.483 1.451
S 2.347 1.483 1.451
CELL_PARAMETERS angstrom
-1.565 5.323 2.915
1.565 -5.323 2.915
1.565 5.323 -2.915
```

Output
Its total magnetization is 0.0 μB/cell. The density of states at the Fermi level is 0.56 states/eV per atom. The energy relative to the lowest polymorph listed for this composition comes out at 0.57 eV per formula unit. The formation energy (no corrections) comes out at -0.339 eV/atom. Its space-group type is Ima2. Its calculated volume is 97.1 Å³/cell.